<w>
RbMg3Tc after structural relaxation. Source: the Alexandria database, functional PBE.

Computed properties:
- space group = No. 221

The structure in extended XYZ format:
```
5
Lattice="6.223 0.000 0.000 0.000 6.223 0.000 0.000 0.000 6.223" Properties=species:S:1:pos:R:3 pbc="T T T"
Rb 0.000 0.000 0.000
Mg 0.000 0.000 3.112
Mg 0.000 3.112 0.000
Mg 3.112 0.000 0.000
Tc 3.112 3.112 3.112
```

---

<x>
RbMg3Tc after structural relaxation. Source: the Alexandria database, functional PBE.

Computed properties:
- space group = No. 221

The structure in extended XYZ format:
```
5
Lattice="5.291 0.000 0.000 0.000 5.291 0.000 0.000 0.000 5.291" Properties=species:S:1:pos:R:3 pbc="T T T"
Rb 0.000 0.000 0.000
Mg 0.000 2.646 2.646
Mg 2.646 0.000 2.646
Mg 2.646 2.646 0.000
Tc 2.646 2.646 2.646
```

---

Need the numbers? Relative energies in kJ/mol of atoms: <w> 138.9; <x> 0.0.

---

<w>
RbMgTe3 after structural relaxation. Source: the Alexandria database, functional PBE.

Computed properties:
- space group = No. 221

The structure in extended XYZ format:
```
5
Lattice="5.646 0.000 0.000 0.000 5.646 0.000 0.000 0.000 5.646" Properties=species:S:1:pos:R:3 pbc="T T T"
Rb 0.000 0.000 0.000
Mg 2.823 2.823 2.823
Te 0.000 2.823 2.823
Te 2.823 0.000 2.823
Te 2.823 2.823 0.000
```

---

<x>
RbMgTe3 after structural relaxation. Source: the Alexandria database, functional PBE.

Computed properties:
- space group = No. 221

The structure in extended XYZ format:
```
5
Lattice="6.170 0.000 0.000 0.000 6.170 0.000 0.000 0.000 6.170" Properties=species:S:1:pos:R:3 pbc="T T T"
Rb 0.000 0.000 0.000
Mg 3.085 3.085 3.085
Te 0.000 0.000 3.085
Te 0.000 3.085 0.000
Te 3.085 0.000 0.000
```

---

Need the numbers? Relative energies in kJ/mol of atoms: <w> 0.0; <x> 114.9.